A relaxed KCoSb2 crystal, computed with PBE-GGA.

Values from the calculation:
Total DFT energy (no corrections): -14.4 eV/cell
Density: 5.71 Mg/m³
Symmetry: Cmmm, No. 65
Energy relative to the lowest polymorph listed for this composition: 0.678 eV per atom
Formation energy without anion corrections: 502 meV per atom
Crystal system: orthorhombic

Unit cell a=5.8932 b=5.8932 c=3.0936 alpha=90.00 beta=90.00 gamma=112.30
Last column: nearest neighbours and their distance in Å.
Atoms (fractional coordinates):
K1 0.0000 0.0000 0.0000  2 K 3.09, 2 Co 3.28, 8 Sb 3.33
Co1 0.5000 0.5000 0.0000  2 Co 3.09, 2 K 3.28, 8 Sb 3.33
Sb1 0.0000 0.5000 0.5000  4 Sb 3.09-3.28, 4 Co 3.33, 4 K 3.33
Sb2 0.5000 0.0000 0.5000  4 Sb 3.09-3.28, 4 K 3.33, 4 Co 3.33

A relaxed TbGdBi2 crystal, computed with PBE-GGA.

Values from the calculation:
Total DFT energy (no corrections): -30.0 eV/cell
Density: 9.42 Mg/m³
Symmetry: R-3m, No. 166
Crystal system: trigonal

Unit cell a=7.8042 b=7.8042 c=7.8042 alpha=33.56 beta=33.56 gamma=33.56
Last column: nearest neighbours and their distance in Å.
Atoms (fractional coordinates):
Tb1 0.0000 0.0000 0.0000  6 Bi 3.18
Gd1 0.5000 0.5000 0.5000  6 Bi 3.19
Bi1 0.2503 0.2503 0.2503  3 Tb 3.18, 3 Gd 3.19
Bi2 0.7497 0.7497 0.7497  3 Tb 3.18, 3 Gd 3.19

A relaxed Re2Ag crystal, computed with PBE-GGA.

Values from the calculation:
Total DFT energy (no corrections): -52.4 eV/cell
Density: 17.19 Mg/m³
Symmetry: Cmcm, No. 63
Energy relative to the lowest polymorph listed for this composition: 0.205 eV per atom
Crystal system: orthorhombic

Unit cell a=7.4716 b=7.4716 c=4.5531 alpha=90.00 beta=90.00 gamma=158.59
Last column: nearest neighbours and their distance in Å.
Atoms (fractional coordinates):
Re1 0.0557 0.9443 0.7500  6 Re 2.73-2.80, 6 Ag 2.79-2.82
Re2 0.2839 0.7161 0.2500  8 Re 2.73-2.85, 4 Ag 2.74-2.89
Re3 0.7161 0.2839 0.7500  8 Re 2.73-2.85, 4 Ag 2.74-2.89
Re4 0.9443 0.0557 0.2500  6 Re 2.73-2.80, 6 Ag 2.79-2.82
Ag1 0.3883 0.6117 0.7500  10 Re 2.74-2.89, 2 Ag 2.78
Ag2 0.6117 0.3883 0.2500  10 Re 2.74-2.89, 2 Ag 2.78

A relaxed LiH3Pt crystal, computed with PBE-GGA.

Values from the calculation:
Total DFT energy (no corrections): -37.0 eV/cell
Density: 7.32 Mg/m³
Symmetry: I-4m2, No. 119
Crystal system: tetragonal

Unit cell a=8.0071 b=8.0071 c=8.0071 alpha=154.80 beta=154.80 gamma=35.94
Last column: nearest neighbours and their distance in Å.
Atoms (fractional coordinates):
Li1 0.1035 0.1035 0.0000  8 H 2.18-2.40
Li2 0.8965 0.8965 0.0000  8 H 2.18-2.40
H1 0.0046 0.5046 0.5000  2 Pt 1.75
H2 0.1137 0.3384 0.7753  1 H 1.57, 1 Pt 1.66
H3 0.4954 0.9954 0.5000  2 Pt 1.75
H4 0.5632 0.3384 0.2247  1 H 1.57, 1 Pt 1.66
H5 0.6616 0.4368 0.7753  1 H 1.57, 1 Pt 1.66
H6 0.6616 0.8863 0.2247  1 H 1.57, 1 Pt 1.66
Pt1 0.5000 0.5000 0.0000  4 H 1.75
Pt2 0.7500 0.2500 0.5000  4 H 1.66

What is the total DFT energy (no corrections) in the second record?
-30.0 eV/cell